## ErInCoRu (PBE)

Data for an optimized crystal structure of ErInCoRu.

Values from the calculation:
M_tot ... 0.00 μB per cell
Energy of formation from the pure elements ... -0.153 eV per atom
Final energy ... -6.074 eV/atom
Calculated density ... 10.65 g/cm³
Symmetry ... F-43m
DOS(E_F) ... 5.363 states/eV/cell

```
4
Lattice="4.603 0.000 0.000 2.301 3.986 0.000 2.301 1.329 3.758" Properties=species:S:1:pos:R:3 pbc="T T T"
Er 4.603 2.657 1.879
In 0.000 0.000 0.000
Ru 6.904 3.986 2.819
Co 2.301 1.329 0.940
```